[1]
Density functional theory data (PBE-GGA) for an optimized crystal structure of SrCoTe2.

a = 5.3377 Å, b = 5.3377 Å, c = 5.3377 Å
α = 60.00°, β = 60.00°, γ = 60.00°
Last column: nearest neighbours and their distance in Å.
Fractional positions:
Sr 0.0000 0.0000 0.0000  8 Te 3.27
Co 0.5000 0.5000 0.5000  8 Te 3.27
Te 0.2500 0.2500 0.2500  4 Co 3.27, 4 Sr 3.27
Te 0.7500 0.7500 0.7500  4 Co 3.27, 4 Sr 3.27

Values from the calculation:
As for the space group: Fm-3m, No. 225. The volume comes out at 26.883 A^3/atom. The value obtained for the total energy is -3.9649 eV per atom. The formation energy without anion corrections comes out at -4.5 kcal/mol of atoms. For the total moment, the calculation gives 2.61 μB/f.u.

***

[2]
Density functional theory data (PBE-GGA) for an optimized crystal structure of In2Bi2Pb15.

a = 8.9578 Å, b = 8.9578 Å, c = 8.9578 Å
α = 75.20°, β = 75.20°, γ = 75.20°
Last column: nearest neighbours and their distance in Å.
Fractional positions:
In 0.0842 0.0842 0.0842  1 Bi 3.20, 1 In 3.21, 3 Pb 3.53
In 0.9158 0.9158 0.9158  1 Bi 3.20, 1 In 3.21, 3 Pb 3.53
Bi 0.2522 0.2522 0.2522  1 In 3.20, 6 Pb 3.44-3.55
Bi 0.7478 0.7478 0.7478  1 In 3.20, 6 Pb 3.44-3.55
Pb 0.0000 0.0000 0.5000  8 Pb 3.33-3.58, 2 In 3.53, 2 Bi 3.55
Pb 0.0000 0.2952 0.7048  6 Pb 3.23-3.58, 2 In 3.60
Pb 0.0000 0.5000 0.0000  8 Pb 3.33-3.58, 2 In 3.53, 2 Bi 3.55
Pb 0.0000 0.7048 0.2952  6 Pb 3.23-3.58, 2 In 3.60
Pb 0.1449 0.6186 0.6186  6 Pb 3.31-3.34, 1 Bi 3.44
Pb 0.2952 0.0000 0.7048  6 Pb 3.23-3.58, 2 In 3.60
Pb 0.2952 0.7048 0.0000  6 Pb 3.23-3.58, 2 In 3.60
Pb 0.3814 0.3814 0.8551  6 Pb 3.31-3.34, 1 Bi 3.44
Pb 0.3814 0.8551 0.3814  6 Pb 3.31-3.34, 1 Bi 3.44
Pb 0.5000 0.0000 0.0000  8 Pb 3.33-3.58, 2 In 3.53, 2 Bi 3.55
Pb 0.6186 0.1449 0.6186  6 Pb 3.31-3.34, 1 Bi 3.44
Pb 0.6186 0.6186 0.1449  6 Pb 3.31-3.34, 1 Bi 3.44
Pb 0.7048 0.0000 0.2952  6 Pb 3.23-3.58, 2 In 3.60
Pb 0.7048 0.2952 0.0000  6 Pb 3.23-3.58, 2 In 3.60
Pb 0.8551 0.3814 0.3814  6 Pb 3.31-3.34, 1 Bi 3.44

Values from the calculation:
As for the space group: R-3m, No. 166. The volume comes out at 34.624 A^3/atom. The value obtained for the total energy is -3.5053 eV per atom. As for the formation energy: 0.1191 eV/atom. For the total moment, the calculation gives 0.00 μB/f.u.

***

[3]
Density functional theory data (PBE-GGA) for an optimized crystal structure of Tb2NiHRh6.

a = 6.7386 Å, b = 6.7386 Å, c = 6.7386 Å
α = 48.52°, β = 48.52°, γ = 48.52°
Last column: nearest neighbours and their distance in Å.
Fractional positions:
Tb 0.2153 0.2153 0.2153  9 Rh 2.96-3.22, 3 Ni 3.31
Tb 0.7847 0.7847 0.7847  9 Rh 2.96-3.22, 3 Ni 3.31
Ni 0.5000 0.5000 0.5000  6 Rh 2.46
H 0.0000 0.0000 0.0000  6 Rh 1.96
Rh 0.2311 0.2311 0.7166  1 H 1.96
Rh 0.2311 0.7165 0.2311  1 H 1.96
Rh 0.2835 0.7689 0.7689  1 H 1.96
Rh 0.7166 0.2311 0.2311  1 H 1.96
Rh 0.7689 0.2834 0.7689  1 H 1.96
Rh 0.7689 0.7689 0.2834  1 H 1.96

Values from the calculation:
As for the space group: R-3m, No. 166. The volume comes out at 15.750 A^3/atom. The value obtained for the total energy is -6.6174 eV per atom. For the total moment, the calculation gives 0.00 μB/f.u.

***

[4]
Density functional theory data (PBE-GGA) for an optimized crystal structure of Nb2Ir5OsW.

a = 7.5498 Å, b = 7.5498 Å, c = 7.5498 Å
α = 120.41°, β = 120.41°, γ = 89.29°
Last column: nearest neighbours and their distance in Å.
Fractional positions:
Nb 0.1140 0.6140 0.7279  1 Nb 2.42, 2 Ir 2.46
Nb 0.3860 0.1140 0.5000  1 Nb 2.42, 2 Ir 2.46
Nb 0.6140 0.8860 0.5000  1 Nb 2.42, 2 Ir 2.46
Nb 0.8860 0.3860 0.2721  1 Nb 2.42, 2 Ir 2.46
Ir 0.0000 0.0000 0.0000  2 W 2.69
Ir 0.0645 0.1682 0.5000  1 Os 2.45, 1 Nb 2.46, 1 Ir 2.73
Ir 0.1682 0.6682 0.1037  1 Os 2.45, 1 Nb 2.46, 1 Ir 2.73
Ir 0.3318 0.4355 0.5000  1 Os 2.45, 1 Nb 2.46, 1 Ir 2.73
Ir 0.4355 0.9355 0.1037  1 Os 2.45, 1 Nb 2.46, 1 Ir 2.73
Ir 0.5000 0.5000 0.0000  2 W 2.69
Ir 0.5645 0.0645 0.8963  1 Os 2.45, 1 Nb 2.46, 1 Ir 2.73
Ir 0.6682 0.5645 0.5000  1 Os 2.45, 1 Nb 2.46, 1 Ir 2.73
Ir 0.8318 0.3318 0.8963  1 Os 2.45, 1 Nb 2.46, 1 Ir 2.73
Ir 0.9355 0.8318 0.5000  1 Os 2.45, 1 Nb 2.46, 1 Ir 2.73
Os 0.2500 0.7500 0.5000  4 Ir 2.45
Os 0.7500 0.2500 0.5000  4 Ir 2.45
W 0.2500 0.2500 0.0000  10 Ir 2.69-2.98
W 0.7500 0.7500 0.0000  10 Ir 2.69-2.98

Values from the calculation:
As for the space group: I4/mcm, No. 140. The volume comes out at 16.798 A^3/atom. The value obtained for the total energy is -9.3518 eV per atom. As for the formation energy: 0.4957 eV/atom. For the total moment, the calculation gives 0.00 μB/f.u.

***

[5]
Density functional theory data (PBE-GGA) for an optimized crystal structure of MnCrW2.

a = 5.4699 Å, b = 5.4699 Å, c = 5.4699 Å
α = 103.59°, β = 103.59°, γ = 122.00°
Last column: nearest neighbours and their distance in Å.
Fractional positions:
Mn 0.0000 0.0000 0.0000  4 W 2.48, 2 Cr 2.65
Mn 0.7500 0.2500 0.5000  4 W 2.48, 2 Cr 2.65
Cr 0.2500 0.7500 0.5000  4 W 2.49, 2 Mn 2.65
Cr 0.5000 0.5000 0.0000  4 W 2.49, 2 Mn 2.65
W 0.1240 0.6250 0.9990  2 Mn 2.48, 2 Cr 2.49, 2 W 2.65
W 0.3750 0.3740 0.4990  2 Mn 2.48, 2 Cr 2.49, 2 W 2.65
W 0.6260 0.1250 0.0010  2 Mn 2.48, 2 Cr 2.49, 2 W 2.65
W 0.8750 0.8760 0.5010  2 Mn 2.48, 2 Cr 2.49, 2 W 2.65

Values from the calculation:
As for the space group: I-42d, No. 122. The volume comes out at 15.174 A^3/atom. The offset from the most stable computed form comes out at 814 meV per atom. The value obtained for the total energy is -10.2920 eV per atom. As for the formation energy: 0.8829 eV/atom. For the total moment, the calculation gives 2.99 μB/f.u.

***

[6]
Density functional theory data (PBE-GGA) for an optimized crystal structure of Mn2PRh.

a = 3.6039 Å, b = 3.6039 Å, c = 3.7999 Å
α = 90.00°, β = 90.00°, γ = 90.00°
Last column: nearest neighbours and their distance in Å.
Fractional positions:
Mn 0.0000 0.5000 0.0000  4 Mn 2.55, 4 Rh 2.62, 4 P 2.62
Mn 0.5000 0.0000 0.0000  4 Mn 2.55, 4 Rh 2.62, 4 P 2.62
P 0.0000 0.0000 0.5000  4 Rh 2.55, 8 Mn 2.62
Rh 0.5000 0.5000 0.5000  4 P 2.55, 8 Mn 2.62

Values from the calculation:
As for the space group: P4/mmm, No. 123. The volume comes out at 12.338 A^3/atom. The value obtained for the total energy is -7.9826 eV per atom. As for the formation energy: -0.2075 eV/atom. For the total moment, the calculation gives 4.46 μB/f.u.

***

[7]
Density functional theory data (PBE-GGA) for an optimized crystal structure of K2Mg2NpO6.

a = 5.5182 Å, b = 5.5182 Å, c = 6.6469 Å
α = 99.14°, β = 99.14°, γ = 119.49°
Last column: nearest neighbours and their distance in Å.
Fractional positions:
K 0.1744 0.8256 0.0000  6 O 2.72-2.82
K 0.8256 0.1744 0.0000  6 O 2.72-2.82
Mg 0.3349 0.6651 0.5000  6 O 2.14-2.20
Mg 0.6651 0.3349 0.5000  6 O 2.14-2.20
Np 0.0000 0.0000 0.5000  6 O 2.09
O 0.0576 0.3849 0.6718  1 Np 2.09, 2 Mg 2.14-2.20
O 0.2577 0.2577 0.3300  1 Np 2.09, 2 Mg 2.15
O 0.3849 0.0576 0.6718  1 Np 2.09, 2 Mg 2.14-2.20
O 0.6151 0.9424 0.3282  1 Np 2.09, 2 Mg 2.14-2.20
O 0.7423 0.7423 0.6700  1 Np 2.09, 2 Mg 2.15
O 0.9424 0.6151 0.3282  1 Np 2.09, 2 Mg 2.14-2.20

Values from the calculation:
As for the space group: C2/m, No. 12. The volume comes out at 15.201 A^3/atom. The value obtained for the total energy is -6.8448 eV per atom. The formation energy without anion corrections comes out at -57.1 kcal/mol of atoms. For the total moment, the calculation gives 1.00 μB/f.u.

***

[8]
Density functional theory data (PBE-GGA) for an optimized crystal structure of Zn2AsPd2.

a = 7.3908 Å, b = 7.3908 Å, c = 2.9179 Å
α = 90.00°, β = 90.00°, γ = 90.00°
Last column: nearest neighbours and their distance in Å.
Fractional positions:
Zn 0.1298 0.3702 0.0000  6 Pd 2.59-2.63, 1 Zn 2.71, 2 As 2.90
Zn 0.3702 0.8702 0.0000  6 Pd 2.59-2.63, 1 Zn 2.71, 2 As 2.90
Zn 0.6298 0.1298 0.0000  6 Pd 2.59-2.63, 1 Zn 2.71, 2 As 2.90
Zn 0.8702 0.6298 0.0000  6 Pd 2.59-2.63, 1 Zn 2.71, 2 As 2.90
As 0.0000 0.0000 0.0000  4 Zn 2.90, 2 As 2.92, 8 Pd 3.12
As 0.5000 0.5000 0.0000  4 Zn 2.90, 2 As 2.92, 8 Pd 3.12
Pd 0.1649 0.6649 0.5000  6 Zn 2.59-2.63
Pd 0.3351 0.1649 0.5000  6 Zn 2.59-2.63
Pd 0.6649 0.8351 0.5000  6 Zn 2.59-2.63
Pd 0.8351 0.3351 0.5000  6 Zn 2.59-2.63

Values from the calculation:
As for the space group: P4/mbm, No. 127. The volume comes out at 15.939 A^3/atom. The offset from the most stable computed form comes out at 38 meV per atom. The value obtained for the total energy is -3.7687 eV per atom. As for the formation energy: -0.2521 eV/atom. For the total moment, the calculation gives 0.00 μB/f.u.

***

[9]
Density functional theory data (PBE-GGA) for an optimized crystal structure of CdAs2RhO8.

a = 5.4760 Å, b = 5.4760 Å, c = 6.5262 Å
α = 90.00°, β = 90.00°, γ = 120.00°
Last column: nearest neighbours and their distance in Å.
Fractional positions:
Cd 0.0000 0.0000 0.0000  6 O 2.42
As 0.3333 0.6667 0.2200  4 O 1.67-1.74
As 0.6667 0.3333 0.7800  4 O 1.67-1.74
Rh 0.0000 0.0000 0.5000  6 O 2.01
O 0.1564 0.3127 0.2926  1 As 1.74
O 0.1564 0.8436 0.2926  1 As 1.74
O 0.3127 0.1564 0.7074  1 As 1.74
O 0.3333 0.6667 0.9645  1 As 1.67
O 0.6667 0.3333 0.0355  1 As 1.67
O 0.6873 0.8436 0.2926  1 As 1.74
O 0.8436 0.1564 0.7074  1 As 1.74
O 0.8436 0.6873 0.7074  1 As 1.74

Values from the calculation:
As for the space group: P-3m1, No. 164. The volume comes out at 14.123 A^3/atom. The value obtained for the total energy is -5.6360 eV per atom. The formation energy without anion corrections comes out at -20.0 kcal/mol of atoms. For the total moment, the calculation gives 1.06 μB/f.u.

***

[10]
Density functional theory data (PBE-GGA) for an optimized crystal structure of Sm4GeRu.

a = 8.1090 Å, b = 8.1090 Å, c = 6.3344 Å
α = 106.44°, β = 106.44°, γ = 112.59°
Last column: nearest neighbours and their distance in Å.
Fractional positions:
Sm 0.0591 0.6990 0.9110  2 Ru 3.04-3.05, 2 Ge 3.10-3.16
Sm 0.2256 0.3527 0.6983  2 Ru 2.83-2.91, 2 Ge 3.14-3.15
Sm 0.3010 0.9409 0.5890  2 Ru 3.04-3.05, 2 Ge 3.10-3.16
Sm 0.3527 0.2256 0.1983  2 Ru 2.83-2.91, 2 Ge 3.14-3.15
Sm 0.6473 0.7744 0.8017  2 Ru 2.83-2.91, 2 Ge 3.14-3.15
Sm 0.6990 0.0591 0.4110  2 Ru 3.04-3.05, 2 Ge 3.10-3.16
Sm 0.7744 0.6473 0.3017  2 Ru 2.83-2.91, 2 Ge 3.14-3.15
Sm 0.9409 0.3010 0.0890  2 Ru 3.04-3.05, 2 Ge 3.10-3.16
Ge 0.3698 0.6302 0.2500  8 Sm 3.10-3.16
Ge 0.6302 0.3698 0.7500  8 Sm 3.10-3.16
Ru 0.0001 0.9999 0.2500  8 Sm 2.83-3.05, 2 Ru 3.17
Ru 0.9999 0.0001 0.7500  8 Sm 2.83-3.05, 2 Ru 3.17

Values from the calculation:
As for the space group: C2/c, No. 15. The volume comes out at 27.566 A^3/atom. The offset from the most stable computed form comes out at 0 meV per atom. The value obtained for the total energy is -5.8912 eV per atom. As for the formation energy: -0.4296 eV/atom. For the total moment, the calculation gives 0.00 μB/f.u.

***

[11]
Density functional theory data (PBE-GGA) for an optimized crystal structure of Ta4Au.

a = 2.8341 Å, b = 4.7683 Å, c = 7.1578 Å
α = 109.38°, β = 96.09°, γ = 90.02°
Last column: nearest neighbours and their distance in Å.
Fractional positions:
Ta 0.0804 0.3993 0.2984  6 Ta 2.76-2.94, 2 Au 2.93
Ta 0.3155 0.2066 0.9133  7 Ta 2.76-2.94, 1 Au 2.90
Ta 0.6845 0.7934 0.0867  7 Ta 2.76-2.94, 1 Au 2.90
Ta 0.9196 0.6007 0.7016  6 Ta 2.76-2.94, 2 Au 2.93
Au 0.5000 0.0000 0.5000  2 Au 2.83, 6 Ta 2.90-2.93

Values from the calculation:
As for the space group: P-1, No. 2. The volume comes out at 18.133 A^3/atom. The offset from the most stable computed form comes out at 44 meV per atom. The value obtained for the total energy is -10.1055 eV per atom. As for the formation energy: 0.0321 eV/atom. For the total moment, the calculation gives 0.00 μB/f.u.

***

[12]
Density functional theory data (PBE-GGA) for an optimized crystal structure of LiAgHgBr4.

a = 8.2831 Å, b = 8.2831 Å, c = 8.2831 Å
α = 120.74°, β = 119.63°, γ = 89.68°
Last column: nearest neighbours and their distance in Å.
Fractional positions:
Li 0.0000 0.0000 0.0000  6 Br 2.78-2.80
Li 0.5000 0.0000 0.5000  6 Br 2.78-2.80
Ag 0.5000 0.0000 0.0000  6 Br 2.85-2.91
Ag 0.5000 0.5000 0.5000  6 Br 2.85-2.91
Hg 0.1224 0.3724 0.7500  4 Br 2.70-2.71
Hg 0.8776 0.6276 0.2500  4 Br 2.70-2.71
Br 0.2493 0.2365 0.0128  1 Hg 2.71, 1 Li 2.78, 2 Ag 2.85
Br 0.2525 0.2314 0.4790  1 Hg 2.70, 2 Li 2.80, 1 Ag 2.91
Br 0.2525 0.7735 0.0210  1 Hg 2.70, 2 Li 2.80, 1 Ag 2.91
Br 0.2764 0.7635 0.5128  1 Hg 2.71, 1 Li 2.78, 2 Ag 2.85
Br 0.7236 0.2365 0.4872  1 Hg 2.71, 1 Li 2.78, 2 Ag 2.85
Br 0.7475 0.2265 0.9790  1 Hg 2.70, 2 Li 2.80, 1 Ag 2.91
Br 0.7475 0.7686 0.5210  1 Hg 2.70, 2 Li 2.80, 1 Ag 2.91
Br 0.7507 0.7635 0.9872  1 Hg 2.71, 1 Li 2.78, 2 Ag 2.85

Values from the calculation:
As for the space group: Imma, No. 74. The volume comes out at 28.619 A^3/atom. The value obtained for the total energy is -2.3830 eV per atom. The formation energy without anion corrections comes out at -16.2 kcal/mol of atoms. For the total moment, the calculation gives 0.00 μB/f.u.

***

> Which of these has the highest total moment?

Mn2PRh

***

What did the fifth record say?
Density functional theory data (PBE-GGA) for an optimized crystal structure of MnCrW2.

a = 5.4699 Å, b = 5.4699 Å, c = 5.4699 Å
α = 103.59°, β = 103.59°, γ = 122.00°
Last column: nearest neighbours and their distance in Å.
Fractional positions:
Mn 0.0000 0.0000 0.0000  4 W 2.48, 2 Cr 2.65
Mn 0.7500 0.2500 0.5000  4 W 2.48, 2 Cr 2.65
Cr 0.2500 0.7500 0.5000  4 W 2.49, 2 Mn 2.65
Cr 0.5000 0.5000 0.0000  4 W 2.49, 2 Mn 2.65
W 0.1240 0.6250 0.9990  2 Mn 2.48, 2 Cr 2.49, 2 W 2.65
W 0.3750 0.3740 0.4990  2 Mn 2.48, 2 Cr 2.49, 2 W 2.65
W 0.6260 0.1250 0.0010  2 Mn 2.48, 2 Cr 2.49, 2 W 2.65
W 0.8750 0.8760 0.5010  2 Mn 2.48, 2 Cr 2.49, 2 W 2.65

Values from the calculation:
As for the space group: I-42d, No. 122. The volume comes out at 15.174 A^3/atom. The offset from the most stable computed form comes out at 814 meV per atom. The value obtained for the total energy is -10.2920 eV per atom. As for the formation energy: 0.8829 eV/atom. For the total moment, the calculation gives 2.99 μB/f.u.

***

> Which of these has the highest total moment?

Mn2PRh

***

> total moment of number 6 (Mn2PRh)?

4.46 μB/f.u.